Entry 1:
The following is a DFT calculation (GGA-PBE) of a relaxed structure of Tb4ErSb5.

Structure (POSCAR):
```
Tb4ErSb5
1.0
-3.2749 -2.5134 1.4997
3.2989 -5.0877 -1.3231
4.3985 4.0479 9.9575
Er Sb Tb
1 5 4
Direct
0.0000 0.0000 0.0000 Er
0.2002 0.7002 0.4004 Sb
0.7998 0.2998 0.5996 Sb
0.5987 0.0987 0.1975 Sb
0.0000 0.5000 0.0000 Sb
0.4013 0.9013 0.8025 Sb
0.8006 0.8006 0.6012 Tb
0.6000 0.6000 0.1999 Tb
0.1994 0.1994 0.3988 Tb
0.4000 0.4000 0.8001 Tb
```

Summary:
Space-group type: Immm (71)
E_form (uncorrected): -1.138 eV/atom


Entry 2:
The following is a DFT calculation (GGA-PBE) of a relaxed structure of Ba2SrRh.

Structure (POSCAR):
```
Ba2SrRh
1.0
8.4003 0.5540 -0.0881
5.1666 6.6466 0.0881
-6.1739 -4.7488 3.1955
Ba Rh Sr
2 1 1
Direct
0.5936 0.5936 0.0000 Ba
0.9064 0.9064 0.0000 Ba
0.7500 0.2500 0.5000 Rh
0.2500 0.7500 0.5000 Sr
```

Summary:
Excess energy over the best structure of this formula in the dataset: 157.3 meV per atom
Space-group type: Immm (71)


Entry 3:
The following is a DFT calculation (GGA-PBE) of a relaxed structure of Ce4TmPa3P8.

Structure (POSCAR):
```
Ce4TmPa3P8
1.0
8.0258 0.0000 0.0000
0.0000 8.0499 0.0113
-4.0129 -4.0091 5.6779
P Pa Ce Tm
8 3 4 1
Direct
0.7533 0.2602 0.0069 P
0.7470 0.7411 0.4941 P
0.2536 0.2602 0.0069 P
0.7533 0.2602 0.5065 P
0.7464 0.7398 0.9931 P
0.2467 0.7398 0.4935 P
0.2530 0.2589 0.5059 P
0.2467 0.7398 0.9931 P
0.0000 0.5000 0.5000 Pa
0.5000 0.5000 0.5000 Pa
0.5000 0.5000 0.0000 Pa
0.5000 0.0000 0.5000 Ce
0.0000 0.0000 0.5000 Ce
0.5000 0.0000 0.0000 Ce
0.0000 0.0000 0.0000 Ce
0.0000 0.5000 0.0000 Tm
```

Summary:
VASP energy: -7.696 eV/atom
Space-group type: R-3m (166)


Entry 4:
The following is a DFT calculation (GGA-PBE) of a relaxed structure of Al3VSb.

Structure (POSCAR):
```
Al3VSb
1.0
-1.9219 2.9503 -3.3106
-4.3075 -0.3849 2.1576
1.0534 3.8086 2.7826
Al Sb V
3 1 1
Direct
0.0000 0.0000 0.5000 Al
0.5000 0.0000 0.0000 Al
0.0000 0.5000 0.0000 Al
0.5000 0.5000 0.5000 Sb
0.0000 0.0000 0.0000 V
```

Summary:
Excess energy over the best structure of this formula in the dataset: 0.0 meV per atom
Space-group type: Pm-3m (221)
E_form (uncorrected): 0.700 eV/atom


Entry 5:
The following is a DFT calculation (GGA-PBE) of a relaxed structure of La3IrPb.

Structure (POSCAR):
```
La3IrPb
1.0
9.0435 -0.0001 0.0118
0.0001 4.7790 -0.0002
3.8806 0.0004 7.4366
Ir La Pb
2 6 2
Direct
0.5095 0.6391 0.2645 Ir
0.8363 0.6391 0.1010 Ir
0.3623 0.1391 0.2150 La
0.0955 0.6391 0.1803 La
0.9834 0.1391 0.9043 La
0.6729 0.6391 0.8427 La
0.6728 0.1391 0.3779 La
0.2503 0.6391 0.6029 La
0.9625 0.1391 0.5282 Pb
0.3832 0.1391 0.8179 Pb
```

Summary:
Excess energy over the best structure of this formula in the dataset: 72.6 meV per atom
Space-group type: Amm2 (38)


Entry 6:
The following is a DFT calculation (GGA-PBE) of a relaxed structure of BaRhS3.

Structure (POSCAR):
```
BaRhS3
1.0
5.8047 0.0000 0.0000
0.0000 5.8047 0.0000
0.0000 0.0000 5.8047
S Ba Rh
3 1 1
Direct
0.0000 0.5000 0.0000 S
0.5000 0.0000 0.0000 S
0.0000 0.0000 0.5000 S
0.0000 0.0000 0.0000 Ba
0.5000 0.5000 0.5000 Rh
```

Summary:
Excess energy over the best structure of this formula in the dataset: 1832.7 meV per atom
Space-group type: Pm-3m (221)
E_form (uncorrected): 1.091 eV/atom


Entry 7:
The following is a DFT calculation (GGA-PBE) of a relaxed structure of Fe2AgIr.

Structure (POSCAR):
```
Fe2AgIr
1.0
2.6740 -0.0067 0.0000
-1.1549 2.4118 0.0000
0.0000 0.0000 8.9260
Fe Ag Ir
2 1 1
Direct
0.5000 0.5000 0.2409 Fe
0.0000 0.0000 0.0219 Fe
0.5000 0.5000 0.7599 Ag
0.0000 0.0000 0.4773 Ir
```

Summary:
VASP energy: -6.921 eV/atom
Space-group type: Cmm2 (35)


Entry 8:
The following is a DFT calculation (GGA-PBE) of a relaxed structure of Cs2HgAsPb.

Structure (POSCAR):
```
Cs2HgAsPb
1.0
-3.3020 2.7102 -5.7568
-6.1895 -2.8722 2.1980
-1.1241 4.5581 2.7907
Hg Cs Pb As
1 2 1 1
Direct
0.5000 0.5000 0.5000 Hg
0.5000 0.0000 0.0000 Cs
0.0000 0.5000 0.0000 Cs
0.0000 0.0000 0.5000 Pb
0.0000 0.0000 0.0000 As
```

Summary:
VASP energy: -2.185 eV/atom
Space-group type: P4/mmm (123)


Entry 9:
The following is a DFT calculation (GGA-PBE) of a relaxed structure of PmCo2W.

Structure (POSCAR):
```
PmCo2W
1.0
-1.5671 1.8160 -1.9087
-1.9788 -2.2776 -0.5423
-3.9869 2.1885 5.3557
Co Pm W
2 1 1
Direct
0.0000 0.0000 0.8153 Co
0.0000 0.0000 0.1847 Co
0.5000 0.5000 0.5000 Pm
0.5000 0.5000 0.0000 W
```

Summary:
VASP energy: -7.856 eV/atom
Space-group type: P4/mmm (123)


Entry 10:
The following is a DFT calculation (GGA-PBE) of a relaxed structure of Pr4GaAu.

Structure (POSCAR):
```
Pr4GaAu
1.0
5.4762 0.0000 0.0000
0.0000 6.4566 0.0000
-2.7381 0.0000 11.0976
Pr Au Ga
8 2 2
Direct
0.5598 0.3495 0.1196 Pr
0.7178 0.5542 0.4357 Pr
0.8831 0.2941 0.7663 Pr
0.6947 0.0765 0.3893 Pr
0.4402 0.8495 0.8804 Pr
0.2822 0.0542 0.5643 Pr
0.3053 0.5765 0.6107 Pr
0.1169 0.7941 0.2337 Pr
0.5740 0.8393 0.1480 Au
0.4260 0.3393 0.8520 Au
0.1602 0.3197 0.3204 Ga
0.8398 0.8197 0.6796 Ga
```

Summary:
Excess energy over the best structure of this formula in the dataset: 112.1 meV per atom
Space-group type: Cmc2_1 (36)


Entry 11:
The following is a DFT calculation (GGA-PBE) of a relaxed structure of LaTm3.

Structure (POSCAR):
```
LaTm3
1.0
5.0717 0.0000 0.0000
0.0000 5.0717 0.0000
-2.5359 -2.5359 4.9608
Tm La
3 1
Direct
0.7500 0.2500 0.5000 Tm
0.2500 0.7500 0.5000 Tm
0.5000 0.5000 0.0000 Tm
0.0000 0.0000 0.0000 La
```

Summary:
VASP energy: -4.540 eV/atom
Space-group type: I4/mmm (139)


Entry 12:
The following is a DFT calculation (GGA-PBE) of a relaxed structure of KAlIn2.

Structure (POSCAR):
```
KAlIn2
1.0
-5.6941 0.2684 -3.0575
3.7549 -5.0520 -1.4903
-1.4635 -2.1058 1.6752
In Al K
2 1 1
Direct
0.5000 0.5000 0.0000 In
0.0000 0.0000 0.0000 In
0.0000 0.5000 0.5000 Al
0.5000 0.0000 0.5000 K
```

Summary:
VASP energy: -2.372 eV/atom
Space-group type: C2/m (12)


Entry 13:
The following is a DFT calculation (GGA-PBE) of a relaxed structure of CeB2Pt6.

Structure (POSCAR):
```
CeB2Pt6
1.0
-3.0017 -2.7008 6.4073
2.6905 2.2862 6.7002
-4.1800 4.5115 4.4194
B Pt Ce
4 12 2
Direct
0.6250 0.1250 0.1250 B
0.1250 0.1250 0.6250 B
0.1250 0.6250 0.1250 B
0.1250 0.1250 0.1250 B
0.7832 0.2168 0.2168 Pt
0.2168 0.7832 0.2168 Pt
0.7832 0.7832 0.2168 Pt
0.0332 0.4668 0.0332 Pt
0.0332 0.4668 0.4668 Pt
0.2168 0.2168 0.7832 Pt
0.4668 0.0332 0.0332 Pt
0.0332 0.0332 0.4668 Pt
0.7832 0.2168 0.7832 Pt
0.2168 0.7832 0.7832 Pt
0.4668 0.0332 0.4668 Pt
0.4668 0.4668 0.0332 Pt
0.7500 0.7500 0.7500 Ce
0.5000 0.5000 0.5000 Ce
```

Summary:
VASP energy: -6.711 eV/atom
Space-group type: Fd-3m (227)


Entry 14:
The following is a DFT calculation (GGA-PBE) of a relaxed structure of LiBiBr5.

Structure (POSCAR):
```
LiBiBr5
1.0
-0.8760 -0.8148 -6.9487
6.3049 -1.7222 -2.6454
0.9018 -11.1827 -3.8627
Br Bi Li
10 2 2
Direct
0.3139 0.6550 0.9958 Br
0.3235 0.2531 0.8562 Br
0.2531 0.3235 0.3562 Br
0.0275 0.9725 0.7500 Br
0.9725 0.0275 0.2500 Br
0.6550 0.3139 0.4958 Br
0.6861 0.3450 0.0042 Br
0.3450 0.6861 0.5042 Br
0.7469 0.6765 0.6438 Br
0.6765 0.7469 0.1438 Br
0.0000 0.0000 0.5000 Bi
0.0000 0.0000 0.0000 Bi
0.6596 0.3404 0.2500 Li
0.3404 0.6596 0.7500 Li
```

Summary:
Space-group type: C2/c (15)
E_form (uncorrected): -0.703 eV/atom


Entry 15:
The following is a DFT calculation (GGA-PBE) of a relaxed structure of Cs2GePtCl6.

Structure (POSCAR):
```
Cs2GePtCl6
1.0
7.3289 0.0000 0.0000
0.0000 7.3289 0.0000
3.6644 3.6644 5.1653
Cl Cs Pt Ge
6 2 1 1
Direct
0.7539 0.7539 0.0000 Cl
0.7539 0.2461 0.0000 Cl
0.2461 0.7539 0.0000 Cl
0.2461 0.2461 0.0000 Cl
0.2424 0.2424 0.5152 Cl
0.7576 0.7576 0.4848 Cl
0.7500 0.2500 0.5000 Cs
0.2500 0.7500 0.5000 Cs
0.0000 0.0000 0.0000 Pt
0.5000 0.5000 0.0000 Ge
```

Summary:
Space-group type: I4/mmm (139)
E_form (uncorrected): -1.100 eV/atom


Entry 16:
The following is a DFT calculation (GGA-PBE) of a relaxed structure of InGe2Bi.

Structure (POSCAR):
```
InGe2Bi
1.0
0.0000 3.6729 3.6729
3.6729 0.0000 3.6729
3.6729 3.6729 0.0000
Ge In Bi
2 1 1
Direct
0.2500 0.2500 0.2500 Ge
0.7500 0.7500 0.7500 Ge
0.0000 0.0000 0.0000 In
0.5000 0.5000 0.5000 Bi
```

Summary:
Excess energy over the best structure of this formula in the dataset: 93.8 meV per atom
Space-group type: Fm-3m (225)


Entry 17:
The following is a DFT calculation (GGA-PBE) of a relaxed structure of HgSb2Pt.

Structure (POSCAR):
```
HgSb2Pt
1.0
-2.6926 -6.5852 7.9288
1.3338 -4.9461 9.3401
-0.3153 7.5120 -7.5466
Sb Hg Pt
2 1 1
Direct
0.0918 0.0918 0.0000 Sb
0.7747 0.2747 0.5000 Sb
0.4367 0.4367 0.0000 Hg
0.1967 0.6967 0.5000 Pt
```

Summary:
Space-group type: Imm2 (44)
E_form (uncorrected): -0.112 eV/atom


Entry 18:
The following is a DFT calculation (GGA-PBE) of a relaxed structure of BaCdTe2I.

Structure (POSCAR):
```
BaCdTe2I
1.0
-6.6417 -1.8517 -0.3947
0.8769 -4.2845 5.3452
-1.6232 4.9240 4.2131
Te I Cd Ba
2 1 1 1
Direct
0.5000 0.0000 0.0000 Te
0.0000 0.5000 0.0000 Te
0.0000 0.0000 0.5000 I
0.5000 0.5000 0.5000 Cd
0.0000 0.0000 0.0000 Ba
```

Summary:
Excess energy over the best structure of this formula in the dataset: 614.5 meV per atom
Space-group type: P4/mmm (123)
E_form (uncorrected): -0.096 eV/atom


Entry 19:
The following is a DFT calculation (GGA-PBE) of a relaxed structure of LaNiAs2Rh.

Structure (POSCAR):
```
LaNiAs2Rh
1.0
-2.4301 1.1489 3.2562
-3.0497 -2.5815 -1.3651
4.7235 -3.1271 1.8909
As Rh La Ni
2 1 1 1
Direct
0.3704 0.3704 0.7408 As
0.6296 0.6296 0.2592 As
0.2500 0.7500 0.5000 Rh
0.0000 0.0000 0.0000 La
0.7500 0.2500 0.5000 Ni
```

Summary:
VASP energy: -6.317 eV/atom
Space-group type: I-4m2 (119)


Entry 20:
The following is a DFT calculation (GGA-PBE) of a relaxed structure of MgBeAg.

Structure (POSCAR):
```
MgBeAg
1.0
-0.4289 -0.8948 4.1580
-2.1625 -2.2670 -2.9083
2.2608 -1.9244 -0.1809
Be Mg Ag
1 1 1
Direct
0.3333 0.6667 0.1665 Be
0.6667 0.3333 0.6665 Mg
0.0000 0.0000 0.1670 Ag
```

Summary:
Excess energy over the best structure of this formula in the dataset: 29.3 meV per atom
Space-group type: P-6m2 (187)


Table of density (g/cm3), in record order: 7.84; 4.52; 7.55; 3.73; 8.44; 2.86; 11.89; 4.43; 11.23; 7.03; 8.40; 4.39; 14.40; 4.25; 4.47; 7.86; 9.77; 3.29; 8.11; 4.98
Table of DOS(E_F) (states/eV per cell), in record order: 2.0; 3.1; 23.4; 5.0; 7.0; 8.8; 3.3; 3.2; 3.1; 12.6; 6.8; 1.4; 14.6; 12.8; 3.5; 2.5; 1.1; 4.5; 4.8; 1.5